Entry 1:
Density functional theory data (PBE) for a relaxed Pa3SnO crystal.

## Properties
E_tot ... -42.82 eV/cell

CIF file:
```
data_Pa3SnO
_chemical_formula_sum 'Pa3 Sn1 O1'
_cell_length_a 4.766
_cell_length_b 4.766
_cell_length_c 4.766
_cell_angle_alpha 90.00
_cell_angle_beta 90.00
_cell_angle_gamma 90.00
_space_group_name_H-M_alt 'P 1'
_space_group_IT_number 1
_space_group_name_Hall 'P 1'
loop_
_atom_site_label
_atom_site_fract_x
_atom_site_fract_y
_atom_site_fract_z
Pa1 0.000 0.500 0.000
Pa2 0.000 0.000 0.500
Pa3 0.500 0.000 0.000
Sn1 0.500 0.500 0.500
O1 0.000 0.000 0.000
```

Entry 2:
Density functional theory data (PBE) for a relaxed Mn2ReAuCl crystal.

## Properties
E_tot ... -31.01 eV/cell

CIF file:
```
data_Mn2ReAuCl
_chemical_formula_sum 'Mn2 Re1 Au1 Cl1'
_cell_length_a 4.219
_cell_length_b 4.434
_cell_length_c 4.219
_cell_angle_alpha 90.00
_cell_angle_beta 90.00
_cell_angle_gamma 90.00
_space_group_name_H-M_alt 'P 1'
_space_group_IT_number 1
_space_group_name_Hall 'P 1'
loop_
_atom_site_label
_atom_site_fract_x
_atom_site_fract_y
_atom_site_fract_z
Re1 0.000 0.500 0.000
Mn1 0.000 0.000 0.500
Mn2 0.500 0.000 0.000
Au1 0.500 0.500 0.500
Cl1 0.000 0.000 0.000
```

Entry 3:
Density functional theory data (PBE) for a relaxed KSiAgAs2 crystal.

## Properties
E_tot ... -10.25 eV/cell
Relative energy among the computed polymorphs ... 1913 meV/atom

CIF file:
```
data_KSiAgAs2
_chemical_formula_sum 'K1 Si1 Ag1 As2'
_cell_length_a 5.460
_cell_length_b 5.225
_cell_length_c 5.460
_cell_angle_alpha 90.00
_cell_angle_beta 90.00
_cell_angle_gamma 90.00
_space_group_name_H-M_alt 'P 1'
_space_group_IT_number 1
_space_group_name_Hall 'P 1'
loop_
_atom_site_label
_atom_site_fract_x
_atom_site_fract_y
_atom_site_fract_z
As1 0.000 0.000 0.500
As2 0.500 0.000 0.000
Si1 0.500 0.500 0.500
K1 0.000 0.000 0.000
Ag1 0.000 0.500 0.000
```

no.,formation energy without anion corrections (meV/atom)
1,-1073
2,981
3,1684